(1)
Here is Ba4SrSn2 after structural relaxation from Alexandria via LeMat-Bulk. Energies are from PBE-GGA.

CIF file:
```
data_Ba4SrSn2
_symmetry_space_group_name_H-M 'P 1'
_symmetry_Int_Tables_number 1
_cell_length_a 9.7149
_cell_length_b 7.4660
_cell_length_c 10.5194
_cell_angle_alpha 90.00
_cell_angle_beta 122.72
_cell_angle_gamma 90.00
loop_
_symmetry_equiv_pos_as_xyz
'x,y,z'
loop_
_atom_site_label
_atom_site_fract_x
_atom_site_fract_y
_atom_site_fract_z
_atom_site_occupancy
Ba1 0.5003 0.4999 0.2048 1
Ba2 0.9936 0.7500 0.9230 1
Ba3 0.0064 0.2500 0.0770 1
Ba4 0.5003 0.0001 0.2048 1
Ba5 0.0075 0.2500 0.4312 1
Ba6 0.4997 0.9999 0.7952 1
Ba7 0.4997 0.5001 0.7952 1
Ba8 0.9925 0.7500 0.5688 1
Sr1 0.2433 0.7500 0.3714 1
Sr2 0.7567 0.2500 0.6286 1
Sn1 0.8146 0.7500 0.1568 1
Sn2 0.1854 0.2500 0.8432 1
Sn3 0.3518 0.2500 0.4258 1
Sn4 0.6482 0.7500 0.5742 1
```

DFT formation energy = -350.8 meV per atom
Crystal system = monoclinic
Magnetic moment = 1.11 μB/f.u.
Final energy = -2.833 eV per atom

=====

(2)
Here is Ba2SrSn9 after structural relaxation from Alexandria via LeMat-Bulk. Energies are from PBE-GGA.

CIF file:
```
data_Ba2SrSn9
_symmetry_space_group_name_H-M 'P 1'
_symmetry_Int_Tables_number 1
_cell_length_a 6.4498
_cell_length_b 6.4498
_cell_length_c 11.4016
_cell_angle_alpha 73.57
_cell_angle_beta 73.57
_cell_angle_gamma 60.00
loop_
_symmetry_equiv_pos_as_xyz
'x,y,z'
loop_
_atom_site_label
_atom_site_fract_x
_atom_site_fract_y
_atom_site_fract_z
_atom_site_occupancy
Ba1 0.8593 0.8593 0.4222 1
Ba2 0.1407 0.1407 0.5778 1
Sr1 0.0000 0.0000 0.0000 1
Sn1 0.6650 0.6650 0.0049 1
Sn2 0.3350 0.3350 0.9951 1
Sn3 0.5000 0.5000 0.5000 1
Sn4 0.4165 0.4165 0.2490 1
Sn5 0.9181 0.4165 0.2490 1
Sn6 0.4165 0.9181 0.2490 1
Sn7 0.5835 0.5835 0.7510 1
Sn8 0.5835 0.0819 0.7510 1
Sn9 0.0819 0.5835 0.7510 1
```

DFT formation energy = -340.7 meV per atom
Crystal system = trigonal
Magnetic moment = 0.00 μB/f.u.
Final energy = -3.803 eV per atom

=====

(3)
Here is Ba3Sr4Sn4 after structural relaxation from Alexandria via LeMat-Bulk. Energies are from PBE-GGA.

CIF file:
```
data_Ba3Sr4Sn4
_symmetry_space_group_name_H-M 'P 1'
_symmetry_Int_Tables_number 1
_cell_length_a 5.5553
_cell_length_b 8.7182
_cell_length_c 10.6826
_cell_angle_alpha 114.08
_cell_angle_beta 105.07
_cell_angle_gamma 90.00
loop_
_symmetry_equiv_pos_as_xyz
'x,y,z'
loop_
_atom_site_label
_atom_site_fract_x
_atom_site_fract_y
_atom_site_fract_z
_atom_site_occupancy
Ba1 0.1045 0.1045 0.2090 1
Ba2 0.8955 0.8955 0.7910 1
Ba3 0.0000 0.5000 0.0000 1
Sr1 0.3260 0.1112 0.6519 1
Sr2 0.6740 0.4592 0.3481 1
Sr3 0.6740 0.8888 0.3481 1
Sr4 0.3260 0.5408 0.6519 1
Sn1 0.2055 0.7055 0.4109 1
Sn2 0.7945 0.2945 0.5891 1
Sn3 0.5000 0.8235 0.0000 1
Sn4 0.5000 0.1765 0.0000 1
```

DFT formation energy = -603.6 meV per atom
Crystal system = orthorhombic
Magnetic moment = 0.00 μB/f.u.
Final energy = -3.195 eV per atom

=====

(4)
Here is Ba2SrSn after structural relaxation from Alexandria via LeMat-Bulk. Energies are from PBE-GGA.

CIF file:
```
data_Ba2SrSn
_symmetry_space_group_name_H-M 'P 1'
_symmetry_Int_Tables_number 1
_cell_length_a 4.1935
_cell_length_b 4.1935
_cell_length_c 14.3036
_cell_angle_alpha 81.57
_cell_angle_beta 81.57
_cell_angle_gamma 60.00
loop_
_symmetry_equiv_pos_as_xyz
'x,y,z'
loop_
_atom_site_label
_atom_site_fract_x
_atom_site_fract_y
_atom_site_fract_z
_atom_site_occupancy
Sr1 0.5000 0.5000 0.5000 1
Ba1 0.0818 0.0818 0.7545 1
Ba2 0.9182 0.9182 0.2455 1
Sn1 0.0000 0.0000 0.0000 1
```

DFT formation energy = 196.6 meV per atom
Crystal system = trigonal
Magnetic moment = 0.00 μB/f.u.
Final energy = -2.186 eV per atom

=====

(5)
Here is Ba2SrSn after structural relaxation from Alexandria via LeMat-Bulk. Energies are from PBE-GGA.

CIF file:
```
data_Ba2SrSn
_symmetry_space_group_name_H-M 'P 1'
_symmetry_Int_Tables_number 1
_cell_length_a 4.3942
_cell_length_b 4.3942
_cell_length_c 10.1548
_cell_angle_alpha 90.00
_cell_angle_beta 90.00
_cell_angle_gamma 90.00
loop_
_symmetry_equiv_pos_as_xyz
'x,y,z'
loop_
_atom_site_label
_atom_site_fract_x
_atom_site_fract_y
_atom_site_fract_z
_atom_site_occupancy
Sr1 0.5000 0.5000 0.5000 1
Ba1 0.0000 0.0000 0.8155 1
Ba2 0.0000 0.0000 0.1845 1
Sn1 0.5000 0.5000 0.0000 1
```

DFT formation energy = -309.1 meV per atom
Crystal system = tetragonal
Magnetic moment = 0.00 μB/f.u.
Final energy = -2.692 eV per atom

=====

(6)
Here is Ba2SrSn6 after structural relaxation from Alexandria via LeMat-Bulk. Energies are from PBE-GGA.

CIF file:
```
data_Ba2SrSn6
_symmetry_space_group_name_H-M 'P 1'
_symmetry_Int_Tables_number 1
_cell_length_a 6.4435
_cell_length_b 7.3378
_cell_length_c 7.3378
_cell_angle_alpha 63.77
_cell_angle_beta 90.23
_cell_angle_gamma 90.23
loop_
_symmetry_equiv_pos_as_xyz
'x,y,z'
loop_
_atom_site_label
_atom_site_fract_x
_atom_site_fract_y
_atom_site_fract_z
_atom_site_occupancy
Ba1 0.8526 0.6634 0.6634 1
Ba2 0.1474 0.3366 0.3366 1
Sr1 0.0000 0.0000 0.0000 1
Sn1 0.3569 0.3819 0.8069 1
Sn2 0.3759 0.8100 0.8100 1
Sn3 0.3569 0.8069 0.3819 1
Sn4 0.6431 0.6181 0.1931 1
Sn5 0.6241 0.1900 0.1900 1
Sn6 0.6431 0.1931 0.6181 1
```

DFT formation energy = -465.3 meV per atom
Crystal system = monoclinic
Magnetic moment = 0.00 μB/f.u.
Final energy = -3.748 eV per atom